A relaxed structure of Y6As2Se3Br. Source: Alexandria via LeMat-Bulk, functional PBE-GGA.

```
12
Lattice="-0.801 3.796 -1.360 -5.317 1.107 6.216 8.150 0.994 4.189" Properties=species:S:1:pos:R:3 pbc="T T T"
As 1.213 4.567 5.817
Y 0.169 2.843 7.832
Y -1.386 0.345 1.778
As 0.820 1.330 3.228
Se -3.059 2.451 2.428
Y 1.864 3.054 1.213
Y 3.419 5.551 7.267
Y 2.875 2.377 4.940
Br -0.400 1.898 -0.680
Y -0.842 3.520 4.106
Se 4.026 4.060 2.747
Se -1.993 1.837 6.298
```

Summary:
**SG**: C2/m
**Magnetic moment**: 0.00 μB/f.u.
**Formation energy (no corrections)**: -1.60 eV per atom
**Raw total energy**: -79.43 eV per cell